No. 1
Density functional theory data (meta-GGA SCAN) for a crystal of BiRhSCl2 relaxed with PBEsol.

Cell and atoms, written as POSCAR:
```
BiRhSCl2
1.0
-4.580 -0.685 -0.246
0.593 -4.420 1.272
-0.429 1.244 4.521
S Rh Cl Bi
1 1 2 1
direct
0.000 0.000 0.500
0.000 0.000 0.000
0.000 0.500 0.000
0.500 0.000 0.000
0.500 0.500 0.500
```

Values from the calculation:
The electronic total energy comes out at -138.61 eV per cell. For the density of states at the Fermi level, the calculation gives 0.601 states/eV per atom. Its formation energy from raw total energies is -136 meV per atom.

=====

No. 2
Density functional theory data (meta-GGA SCAN) for a crystal of CaIr2Se relaxed with PBEsol.

Cell and atoms, written as POSCAR:
```
CaIr2Se
1.0
-1.184 1.965 -3.270
2.628 -2.062 -2.191
-2.876 -2.912 -0.709
Se Ir Ca
1 2 1
direct
0.500 0.500 0.500
0.000 0.500 0.000
0.500 0.000 0.000
0.000 0.000 0.500
```

Values from the calculation:
The electronic total energy comes out at -171.73 eV per cell. The calculation puts the offset from the most stable computed form at 250 meV per atom. For the density of states at the Fermi level, the calculation gives 0.618 states/eV per atom. Its formation energy from raw total energies is 52 meV per atom.

=====

No. 3
Density functional theory data (meta-GGA SCAN) for a crystal of SrBe3Al relaxed with PBEsol.

Cell and atoms, written as POSCAR:
```
SrBe3Al
1.0
-1.131 0.842 -4.259
1.402 -4.095 -1.182
-4.109 -1.629 0.769
Be Sr Al
3 1 1
direct
0.500 0.000 0.000
0.000 0.500 0.000
0.000 0.000 0.500
0.500 0.500 0.500
0.000 0.000 0.000
```

Values from the calculation:
Its formation energy is 14.36 kcal/mol of atoms. The electronic total energy comes out at -39.97 eV per cell. For the density of states at the Fermi level, the calculation gives 0.372 states/eV per atom.

=====

No. 4
Density functional theory data (meta-GGA SCAN) for a crystal of ZrTlSb4 relaxed with PBEsol.

Cell and atoms, written as POSCAR:
```
ZrTlSb4
1.0
-1.218 -3.407 4.912
4.555 -1.993 3.535
0.764 2.323 5.589
Zr Sb Tl
1 4 1
direct
0.000 0.000 0.000
0.374 0.877 0.374
0.877 0.374 0.374
0.374 0.374 0.877
0.374 0.374 0.374
0.750 0.750 0.750
```

Values from the calculation:
The electronic total energy comes out at -250.21 eV per cell. For the density of states at the Fermi level, the calculation gives 0.700 states/eV per atom. Its formation energy from raw total energies is 315 meV per atom.

=====

No. 5
Density functional theory data (meta-GGA SCAN) for a crystal of LiZnAsH2O5 relaxed with PBEsol.

Cell and atoms, written as POSCAR:
```
LiZnAsH2O5
1.0
-2.793 -2.581 -3.385
6.345 -0.127 -5.138
3.443 -9.613 4.489
O H Zn Li As
20 8 4 4 4
direct
0.380 0.890 0.841
0.718 0.077 0.520
0.920 0.430 0.320
0.880 0.817 0.286
0.380 0.317 0.214
0.920 0.070 0.820
0.352 0.190 0.960
0.352 0.310 0.460
0.380 0.610 0.341
0.880 0.110 0.159
0.852 0.810 0.040
0.420 0.570 0.680
0.880 0.390 0.659
0.852 0.690 0.540
0.218 0.577 0.980
0.880 0.683 0.786
0.718 0.423 0.020
0.380 0.183 0.714
0.218 0.923 0.480
0.420 0.930 0.180
0.143 0.833 0.529
0.383 0.537 0.016
0.883 0.037 0.484
0.643 0.333 0.971
0.143 0.667 0.029
0.643 0.167 0.471
0.383 0.963 0.516
0.883 0.463 0.984
0.750 0.869 0.878
0.750 0.631 0.378
0.250 0.131 0.122
0.250 0.369 0.622
0.748 0.330 0.182
0.748 0.170 0.682
0.248 0.670 0.818
0.248 0.830 0.318
0.754 0.585 0.664
0.754 0.915 0.164
0.254 0.415 0.336
0.254 0.085 0.836
```

Values from the calculation:
The electronic total energy comes out at -358.01 eV per cell. For the density of states at the Fermi level, the calculation gives 0.000 states/eV per atom.

=====

No. 6
Density functional theory data (meta-GGA SCAN) for a crystal of YMnTlPd2 relaxed with PBEsol.

Cell and atoms, written as POSCAR:
```
YMnTlPd2
1.0
-4.647 0.736 -1.518
-1.379 -4.219 2.175
-0.995 2.527 4.271
Y Mn Tl Pd
1 1 1 2
direct
0.000 0.000 0.000
0.000 0.000 0.500
0.500 0.500 0.500
0.500 0.000 0.000
0.000 0.500 0.000
```

Values from the calculation:
Its formation energy is 17.44 kcal/mol of atoms. The electronic total energy comes out at -180.22 eV per cell. For the density of states at the Fermi level, the calculation gives 0.564 states/eV per atom.